! K3TbBi2Se6 PBE optimized geometry; values from VASP
! **Space group**: C2/m (12)
&SYSTEM
  ibrav = 0, nat = 12, ntyp = 4
/
ATOMIC_SPECIES
K 39.10 K.upf
Tb 158.93 Tb.upf
Bi 208.98 Bi.upf
Se 78.96 Se.upf
CELL_PARAMETERS angstrom
3.722 -6.446 0.000
3.722 6.446 0.000
-2.480 0.000 7.713
ATOMIC_POSITIONS crystal
K 0.000 0.000 0.000
K 0.330 0.670 0.000
K 0.670 0.330 0.000
Tb 0.500 0.500 0.500
Bi 0.166 0.834 0.500
Bi 0.834 0.166 0.500
Se 0.103 0.430 0.291
Se 0.243 0.243 0.710
Se 0.430 0.103 0.291
Se 0.570 0.897 0.709
Se 0.757 0.757 0.290
Se 0.897 0.570 0.709

! K3Tb2BiSe6 PBE optimized geometry; values from VASP
! **Space group**: C2/m (12)
&SYSTEM
  ibrav = 0, nat = 12, ntyp = 4
/
ATOMIC_SPECIES
K 39.10 K.upf
Tb 158.93 Tb.upf
Bi 208.98 Bi.upf
Se 78.96 Se.upf
CELL_PARAMETERS angstrom
3.695 -6.399 0.000
3.695 6.399 0.000
-2.464 0.000 7.692
ATOMIC_POSITIONS crystal
K 0.000 0.000 0.000
K 0.336 0.664 0.000
K 0.664 0.336 0.000
Tb 0.167 0.833 0.500
Tb 0.833 0.167 0.500
Bi 0.500 0.500 0.500
Se 0.091 0.431 0.292
Se 0.229 0.229 0.707
Se 0.431 0.091 0.292
Se 0.569 0.909 0.708
Se 0.771 0.771 0.293
Se 0.909 0.569 0.708

! K3Tb3BiSe8 PBE optimized geometry; values from VASP
! **Space group**: R-3m (166)
&SYSTEM
  ibrav = 0, nat = 15, ntyp = 4
/
ATOMIC_SPECIES
K 39.10 K.upf
Tb 158.93 Tb.upf
Bi 208.98 Bi.upf
Se 78.96 Se.upf
CELL_PARAMETERS angstrom
4.190 2.419 7.844
-4.190 2.419 7.844
0.000 -4.838 7.844
ATOMIC_POSITIONS crystal
K 0.000 0.500 0.500
K 0.500 0.000 0.500
K 0.500 0.500 0.000
Tb 0.000 0.000 0.500
Tb 0.000 0.500 0.000
Tb 0.500 0.000 0.000
Bi 0.500 0.500 0.500
Se 0.232 0.736 0.736
Se 0.235 0.235 0.235
Se 0.264 0.264 0.768
Se 0.264 0.768 0.264
Se 0.736 0.232 0.736
Se 0.736 0.736 0.232
Se 0.765 0.765 0.765
Se 0.768 0.264 0.264

! K2BiTeSe4 PBE optimized geometry; values from VASP
! **Space group**: C2/c (15)
&SYSTEM
  ibrav = 0, nat = 16, ntyp = 4
/
ATOMIC_SPECIES
K 39.10 K.upf
Bi 208.98 Bi.upf
Te 127.60 Te.upf
Se 78.96 Se.upf
CELL_PARAMETERS angstrom
6.183 -6.177 0.000
6.183 6.177 0.000
-5.687 0.000 6.583
ATOMIC_POSITIONS crystal
K 0.000 0.000 0.000
K 0.000 0.000 0.500
K 0.000 0.500 0.000
K 0.500 0.000 0.500
Bi 0.500 0.500 0.000
Bi 0.500 0.500 0.500
Te 0.000 0.500 0.500
Te 0.500 0.000 0.000
Se 0.235 0.714 0.495
Se 0.260 0.297 0.542
Se 0.286 0.765 0.005
Se 0.297 0.260 0.042
Se 0.703 0.740 0.958
Se 0.714 0.235 0.995
Se 0.740 0.703 0.458
Se 0.765 0.286 0.505

! KBiTeSe2 PBE optimized geometry; values from VASP
! **Space group**: P4/mmm (123)
&SYSTEM
  ibrav = 0, nat = 5, ntyp = 4
/
ATOMIC_SPECIES
K 39.10 K.upf
Bi 208.98 Bi.upf
Te 127.60 Te.upf
Se 78.96 Se.upf
CELL_PARAMETERS angstrom
5.440 0.000 0.000
0.000 5.440 0.000
0.000 0.000 8.199
ATOMIC_POSITIONS crystal
K 0.000 0.000 0.000
Bi 0.000 0.000 0.500
Te 0.500 0.500 0.000
Se 0.000 0.500 0.500
Se 0.500 0.000 0.500

! KBiTeSe3 PBE optimized geometry; values from VASP
! **Space group**: P2_1/m (11)
&SYSTEM
  ibrav = 0, nat = 12, ntyp = 4
/
ATOMIC_SPECIES
K 39.10 K.upf
Bi 208.98 Bi.upf
Te 127.60 Te.upf
Se 78.96 Se.upf
CELL_PARAMETERS angstrom
9.095 0.000 0.000
0.000 4.286 0.000
-2.099 0.000 10.817
ATOMIC_POSITIONS crystal
K 0.168 0.250 0.195
K 0.832 0.750 0.805
Bi 0.335 0.750 0.886
Bi 0.665 0.250 0.114
Te 0.125 0.250 0.565
Te 0.875 0.750 0.435
Se 0.121 0.250 0.887
Se 0.300 0.750 0.576
Se 0.432 0.750 0.140
Se 0.568 0.250 0.860
Se 0.700 0.250 0.424
Se 0.879 0.750 0.113

! K3ThBi2Se6 PBE optimized geometry; values from VASP
! **Space group**: C2/m (12)
&SYSTEM
  ibrav = 0, nat = 12, ntyp = 4
/
ATOMIC_SPECIES
K 39.10 K.upf
Th 232.04 Th.upf
Bi 208.98 Bi.upf
Se 78.96 Se.upf
CELL_PARAMETERS angstrom
3.787 -6.747 0.000
3.787 6.747 0.000
-2.558 0.000 7.558
ATOMIC_POSITIONS crystal
K 0.000 0.000 0.000
K 0.327 0.673 0.000
K 0.673 0.327 0.000
Th 0.500 0.500 0.500
Bi 0.165 0.835 0.500
Bi 0.835 0.165 0.500
Se 0.105 0.425 0.291
Se 0.242 0.242 0.709
Se 0.425 0.105 0.291
Se 0.575 0.895 0.709
Se 0.758 0.758 0.291
Se 0.895 0.575 0.709

! K4ThBi3Se8 PBE optimized geometry; values from VASP
! **Space group**: R-3m (166)
&SYSTEM
  ibrav = 0, nat = 16, ntyp = 4
/
ATOMIC_SPECIES
K 39.10 K.upf
Th 232.04 Th.upf
Bi 208.98 Bi.upf
Se 78.96 Se.upf
CELL_PARAMETERS angstrom
4.414 2.549 7.591
-4.414 2.549 7.591
0.000 -5.097 7.591
ATOMIC_POSITIONS crystal
K 0.000 0.000 0.000
K 0.000 0.500 0.500
K 0.500 0.000 0.500
K 0.500 0.500 0.000
Th 0.500 0.500 0.500
Bi 0.000 0.000 0.500
Bi 0.000 0.500 0.000
Bi 0.500 0.000 0.000
Se 0.235 0.235 0.235
Se 0.243 0.732 0.732
Se 0.268 0.268 0.757
Se 0.268 0.757 0.268
Se 0.732 0.243 0.732
Se 0.732 0.732 0.243
Se 0.757 0.268 0.268
Se 0.765 0.765 0.765

! K2ThBiSe4 PBE optimized geometry; values from VASP
! **Space group**: P2/m (10)
&SYSTEM
  ibrav = 0, nat = 8, ntyp = 4
/
ATOMIC_SPECIES
K 39.10 K.upf
Th 232.04 Th.upf
Bi 208.98 Bi.upf
Se 78.96 Se.upf
CELL_PARAMETERS angstrom
8.172 0.000 0.000
0.000 4.324 0.000
-3.302 0.000 7.621
ATOMIC_POSITIONS crystal
K 0.000 0.000 0.000
K 0.000 0.500 0.500
Th 0.500 0.000 0.500
Bi 0.500 0.500 0.000
Se 0.269 0.500 0.298
Se 0.316 0.000 0.744
Se 0.684 0.000 0.256
Se 0.731 0.500 0.702

! K4TiBi3Se8 PBE optimized geometry; values from VASP
! **Space group**: R-3m (166)
&SYSTEM
  ibrav = 0, nat = 16, ntyp = 4
/
ATOMIC_SPECIES
K 39.10 K.upf
Ti 47.87 Ti.upf
Bi 208.98 Bi.upf
Se 78.96 Se.upf
CELL_PARAMETERS angstrom
4.244 2.450 7.653
-4.244 2.450 7.653
0.000 -4.900 7.653
ATOMIC_POSITIONS crystal
K 0.000 0.000 0.000
K 0.000 0.500 0.500
K 0.500 0.000 0.500
K 0.500 0.500 0.000
Ti 0.500 0.500 0.500
Bi 0.000 0.000 0.500
Bi 0.000 0.500 0.000
Bi 0.500 0.000 0.000
Se 0.239 0.239 0.239
Se 0.260 0.719 0.719
Se 0.281 0.281 0.740
Se 0.281 0.740 0.281
Se 0.719 0.260 0.719
Se 0.719 0.719 0.260
Se 0.740 0.281 0.281
Se 0.761 0.761 0.761

! K2TiBiSe4 PBE optimized geometry; values from VASP
! **Space group**: C2 (5)
&SYSTEM
  ibrav = 0, nat = 8, ntyp = 4
/
ATOMIC_SPECIES
K 39.10 K.upf
Ti 47.87 Ti.upf
Bi 208.98 Bi.upf
Se 78.96 Se.upf
CELL_PARAMETERS angstrom
5.713 -4.128 0.000
5.713 4.128 0.000
-5.706 0.000 5.732
ATOMIC_POSITIONS crystal
K 0.000 0.000 0.000
K 0.748 0.252 0.500
Ti 0.500 0.500 0.000
Bi 0.248 0.752 0.500
Se 0.182 0.498 0.647
Se 0.466 0.148 0.968
Se 0.502 0.818 0.353
Se 0.852 0.534 0.032

! KTlBiSe3 PBE optimized geometry; values from VASP
! **Space group**: P2_1/m (11)
&SYSTEM
  ibrav = 0, nat = 12, ntyp = 4
/
ATOMIC_SPECIES
K 39.10 K.upf
Tl 204.38 Tl.upf
Bi 208.98 Bi.upf
Se 78.96 Se.upf
CELL_PARAMETERS angstrom
9.073 0.000 0.000
0.000 4.471 0.000
-2.334 0.000 10.155
ATOMIC_POSITIONS crystal
K 0.214 0.250 0.242
K 0.786 0.750 0.758
Tl 0.090 0.250 0.619
Tl 0.910 0.750 0.381
Bi 0.332 0.750 0.882
Bi 0.668 0.250 0.118
Se 0.119 0.250 0.899
Se 0.241 0.750 0.535
Se 0.451 0.750 0.150
Se 0.549 0.250 0.850
Se 0.759 0.250 0.465
Se 0.881 0.750 0.101

| no. | ρ (g cm⁻³) | E_form (uncorrected) (eV per formula unit) |
| --- | --- | --- |
| 1 | 5.24 | -13.513 |
| 2 | 5.10 | -17.361 |
| 3 | 4.99 | -21.536 |
| 4 | 4.83 | -4.866 |
| 5 | 3.65 | 0.963 |
| 6 | 4.82 | -2.591 |
| 7 | 5.34 | -12.672 |
| 8 | 5.34 | -16.114 |
| 9 | 5.15 | -9.436 |
| 10 | 5.09 | -14.017 |
| 11 | 4.00 | -7.248 |
| 12 | 5.56 | -3.074 |